Compound: NaMoAsO6
Source: the Alexandria database
Functional: PBE+U
Structure: optimized geometry

a b c (Å): 6.652 7.853 10.193
angles (deg): 90.00 90.00 90.00
Atoms (fractional coordinates):
Na: 0.516 0.106 0.981
Na: 0.984 0.894 0.481
Na: 0.484 0.606 0.519
Na: 0.016 0.394 0.019
Mo: 0.766 0.296 0.684
Mo: 0.266 0.204 0.316
Mo: 0.734 0.704 0.184
Mo: 0.234 0.796 0.816
As: 0.242 0.798 0.160
As: 0.742 0.702 0.840
As: 0.758 0.298 0.340
As: 0.258 0.202 0.660
O: 0.742 0.745 0.353
O: 0.225 0.594 0.886
O: 0.037 0.662 0.167
O: 0.243 0.925 0.296
O: 0.252 0.908 0.017
O: 0.743 0.575 0.704
O: 0.757 0.425 0.204
O: 0.258 0.245 0.147
O: 0.963 0.162 0.333
O: 0.752 0.592 0.983
O: 0.242 0.755 0.647
O: 0.748 0.408 0.483
O: 0.537 0.838 0.833
O: 0.559 0.155 0.327
O: 0.248 0.092 0.517
O: 0.463 0.338 0.667
O: 0.775 0.094 0.614
O: 0.758 0.255 0.853
O: 0.941 0.845 0.827
O: 0.441 0.655 0.173
O: 0.059 0.345 0.673
O: 0.725 0.906 0.114
O: 0.275 0.406 0.386
O: 0.257 0.075 0.796

Calculated values
**Magnetization**: 0.000 μB/f.u.
**Excess energy over the best structure of this formula in the dataset**: 1 meV/atom
**Total energy**: -6.28 eV per atom
**N(E_F)**: 0.000 states/eV per atom